[1]
# PBE H32WC8N4Cl7, optimized geometry
# Total magnetization = 6.000 μB/cell
# Total energy = -520.06 eV per cell
data_H32WC8N4Cl7
_chemical_formula_sum 'H64 W2 C16 N8 Cl14'
_space_group_name_H-M_alt 'P 21 21 2'
_space_group_IT_number 18
_cell_length_a 10.445
_cell_length_b 13.120
_cell_length_c 8.863
_cell_angle_alpha 90.00
_cell_angle_beta 90.00
_cell_angle_gamma 90.00
loop_
_space_group_symop_operation_xyz
'x,y,z'
'-x,-y,z'
'x+1/2,-y+1/2,-z'
'-x+1/2,y+1/2,-z'
loop_
_atom_site_label
_atom_site_type_symbol
_atom_site_fract_x
_atom_site_fract_y
_atom_site_fract_z
H1 H 0.002 0.171 0.178
H2 H 0.033 0.846 0.904
H3 H 0.075 0.403 0.388
H4 H 0.087 0.056 0.879
H5 H 0.099 0.174 0.779
H6 H 0.108 0.063 0.166
H7 H 0.142 0.261 0.004
H8 H 0.157 0.523 0.395
H9 H 0.159 0.259 0.543
H10 H 0.163 0.179 0.248
H11 H 0.175 0.944 0.460
H12 H 0.181 0.435 0.630
H13 H 0.185 0.771 0.541
H14 H 0.203 0.780 0.341
H15 H 0.229 0.417 0.300
H16 H 0.241 0.162 0.994
W1 W 0.000 0.500 0.910
C1 C 0.069 0.139 0.884
C2 C 0.101 0.147 0.162
C3 C 0.169 0.440 0.395
C4 C 0.248 0.797 0.450
N1 N 0.145 0.182 0.011
N2 N 0.233 0.409 0.538
Cl1 Cl 0.000 0.000 0.507
Cl2 Cl 0.071 0.617 0.710
Cl3 Cl 0.075 0.623 0.103
Cl4 Cl 0.212 0.415 0.919

[2]
# PBE H12W3C4NCl9, optimized geometry
# Total magnetization = 4.085 μB/cell
# Total energy = -308.47 eV per cell
data_H12W3C4NCl9
_chemical_formula_sum 'H24 W6 C8 N2 Cl18'
_space_group_name_H-M_alt 'P -3 m 1'
_space_group_IT_number 164
_space_group_name_Hall '-P 3 2"'
_cell_length_a 11.1687
_cell_length_b 11.1687
_cell_length_c 8.8542
_cell_angle_alpha 90.00
_cell_angle_beta 90.00
_cell_angle_gamma 120.00
loop_
_atom_site_label
_atom_site_type_symbol
_atom_site_fract_x
_atom_site_fract_y
_atom_site_fract_z
H1 H 0.1345 0.4868 0.1769
H2 H 0.1883 0.5942 0.0113
H3 H 0.2797 0.5595 0.4012
W1 W 0.0889 0.1778 0.6242
C1 C 0.1867 0.5934 0.1350
C2 C 0.3333 0.6667 0.3613
N1 N 0.3333 0.6667 0.1916
Cl1 Cl 0.0000 0.3105 0.5000
Cl2 Cl 0.0994 0.1987 0.1962
Cl3 Cl 0.1915 0.3831 0.7893

[3]
# PBE ZnH12C2N6Cl4, optimized geometry
# Total magnetization = 0.000 μB/cell
# Total energy = -261.70 eV per cell
data_ZnH12C2N6Cl4
_chemical_formula_sum 'Zn2 H24 C4 N12 Cl8'
_space_group_name_H-M_alt 'P -1'
_space_group_IT_number 2
_cell_length_a 7.355
_cell_length_b 7.538
_cell_length_c 13.177
_cell_angle_alpha 78.63
_cell_angle_beta 81.73
_cell_angle_gamma 78.04
loop_
_space_group_symop_operation_xyz
'x,y,z'
'-x,-y,-z'
loop_
_atom_site_label
_atom_site_type_symbol
_atom_site_fract_x
_atom_site_fract_y
_atom_site_fract_z
Zn1 Zn 0.047 0.311 0.273
H1 H 0.123 0.682 0.401
H2 H 0.174 0.882 0.429
H3 H 0.179 0.756 0.166
H4 H 0.222 0.705 0.900
H5 H 0.228 0.576 0.028
H6 H 0.245 0.971 0.136
H7 H 0.252 0.124 0.969
H8 H 0.260 0.006 0.866
H9 H 0.343 0.221 0.648
H10 H 0.381 0.435 0.375
H11 H 0.401 0.507 0.672
H12 H 0.465 0.953 0.379
C1 C 0.242 0.850 0.012
C2 C 0.401 0.701 0.379
N1 N 0.220 0.752 0.413
N2 N 0.225 0.699 0.978
N3 N 0.245 0.848 0.114
N4 N 0.262 0.004 0.943
N5 N 0.464 0.533 0.357
N6 N 0.483 0.180 0.630
Cl1 Cl 0.062 0.378 0.729
Cl2 Cl 0.203 0.824 0.725
Cl3 Cl 0.204 0.201 0.417
Cl4 Cl 0.250 0.284 0.124

[4]
# PBE ZnH6CN3Cl3, optimized geometry
# Total magnetization = 0.001 μB/cell
# Total energy = -277.82 eV per cell
data_ZnH6CN3Cl3
_chemical_formula_sum 'Zn4 H24 C4 N12 Cl12'
_space_group_name_H-M_alt 'P 1 21/c 1'
_space_group_IT_number 14
_cell_length_a 8.569
_cell_length_b 6.246
_cell_length_c 17.206
_cell_angle_alpha 90.00
_cell_angle_beta 119.85
_cell_angle_gamma 90.00
loop_
_space_group_symop_operation_xyz
'x,y,z'
'-x,-y,-z'
'-x,y+1/2,-z+1/2'
'x,-y+1/2,z+1/2'
loop_
_atom_site_label
_atom_site_type_symbol
_atom_site_fract_x
_atom_site_fract_y
_atom_site_fract_z
Zn1 Zn 0.000 0.017 0.250
H1 H 0.081 0.245 0.571
H2 H 0.081 0.246 0.969
H3 H 0.356 0.237 0.708
H4 H 0.357 0.246 0.969
H5 H 0.440 0.737 0.792
H6 H 0.440 0.746 0.930
C1 C 0.333 0.245 0.582
N1 N 0.153 0.249 0.538
N2 N 0.422 0.238 0.672
N3 N 0.423 0.249 0.538
Cl1 Cl 0.130 0.734 0.880
Cl2 Cl 0.131 0.734 0.685
Cl3 Cl 0.262 0.234 0.815